Crystalline Pr2Nd3Sm6Sc at its relaxed geometry. Source: Alexandria, functional PBE.

Structure (POSCAR):
```
Pr2Nd3Sm6Sc
1.0
6.277 0.001 0.003
-3.137 5.437 0.003
-1.055 -1.827 11.865
Pr Sm Sc Nd
2 6 1 3
Direct
0.333 0.667 0.000
0.667 0.333 0.000
0.411 0.082 0.247
0.247 0.247 0.752
0.753 0.753 0.248
0.918 0.589 0.753
0.589 0.918 0.753
0.082 0.411 0.247
0.000 0.000 0.000
0.500 0.500 0.500
0.166 0.834 0.500
0.834 0.166 0.500
```

- Electronic total energy: -58.2 eV/f.u.
- Energy of formation from the pure elements: 26 meV per atom